(1)
Density functional theory data (PBE) for a relaxed structure of Rb3CdH.

Computed properties:
- Total energy: -1.439 eV per atom

Cell lengths 5.9482, 5.9482, 5.9482 Å; angles 90.00, 90.00, 90.00 degrees
Closest atoms and distances in Å follow each position.
Space group Pm-3m (No. 221)
Asymmetric unit:
Rb  0.0000  0.0000  0.5000 [3 per cell]  2 H 2.97
Cd  0.5000  0.5000  0.5000 [1 per cell]  12 Rb 4.21
H  0.0000  0.0000  0.0000 [1 per cell]  6 Rb 2.97



(2)
Density functional theory data (PBE) for a relaxed structure of Rb4Cd2H.

Computed properties:
- Total energy: -1.269 eV per atom

Cell lengths 5.7325, 5.7325, 19.8441 Å; angles 90.00, 90.00, 90.00 degrees
Closest atoms and distances in Å follow each position.
Space group I4/mmm (No. 139)
Asymmetric unit:
Rb  0.0000  0.0000  0.1727 [4 per cell]  1 H 3.43, 1 Cd 3.82
Rb  0.0000  0.5000  0.0000 [4 per cell]  2 H 2.87
Cd  0.0000  0.0000  0.3653 [4 per cell]  9 Rb 3.82-4.12
H  0.0000  0.0000  0.0000 [2 per cell]  4 Rb 2.87



(3)
Density functional theory data (PBE) for a relaxed structure of RbCdH2.

Computed properties:
- Polymorph energy (0 for the lowest one): 445 meV per atom
- Total energy: -1.753 eV per atom

Cell lengths 6.7406, 6.7406, 6.7406 Å; angles 90.00, 90.00, 90.00 degrees
Closest atoms and distances in Å follow each position.
Space group Fm-3m (No. 225)
Asymmetric unit:
Rb  0.0000  0.0000  0.0000 [4 per cell]  8 H 2.92
Cd  0.0000  0.0000  0.5000 [4 per cell]  8 H 2.92
H  0.2500  0.2500  0.2500 [8 per cell]  4 Cd 2.92, 4 Rb 2.92



(4)
Density functional theory data (PBE) for a relaxed structure of RbCd3H.

Computed properties:
- Total energy: -1.099 eV per atom

Cell lengths 5.1741, 5.1741, 5.1741 Å; angles 90.00, 90.00, 90.00 degrees
Closest atoms and distances in Å follow each position.
Space group Pm-3m (No. 221)
Asymmetric unit:
Rb  0.0000  0.0000  0.0000 [1 per cell]  12 Cd 3.66
Cd  0.0000  0.5000  0.5000 [3 per cell]  2 H 2.59
H  0.5000  0.5000  0.5000 [1 per cell]  6 Cd 2.59



(5)
Density functional theory data (PBE) for a relaxed structure of Rb3CdH6.

Computed properties:
- Total energy: -2.465 eV per atom

Cell lengths 16.1198, 11.5494, 5.6702 Å; angles 90.00, 90.33, 90.00 degrees
Closest atoms and distances in Å follow each position.
Space group Cm (No. 8)
Asymmetric unit:
Rb  0.0000  0.0000  0.0000 [2 per cell]  3 H 2.97-3.08
Rb  0.0116  0.3111  0.5148 [4 per cell]  5 H 2.80-3.05
Rb  0.2458  0.1911  0.0045 [4 per cell]  7 H 2.81-3.11
Rb  0.2552  0.5000  0.4946 [2 per cell]  3 H 2.89-3.00
Cd  0.0869  0.5000  0.0443 [2 per cell]  4 H 1.83-1.87
Cd  0.1656  0.0000  0.5396 [2 per cell]  4 H 1.83-1.88
H  0.0949  0.5000  0.7219 [2 per cell]  1 Cd 1.83
H  0.1159  0.1311  0.6623 [4 per cell]  1 Cd 1.85
H  0.1400  0.3706  0.1721 [4 per cell]  1 Cd 1.87
H  0.1681  0.0000  0.2177 [2 per cell]  1 Cd 1.83
H  0.2731  0.0000  0.6678 [2 per cell]  1 Cd 1.88, 2 H 2.10
H  0.3155  0.1534  0.5108 [4 per cell]  1 H 0.77
H  0.3298  0.2161  0.4877 [4 per cell]  1 H 0.77
H  0.4783  0.0000  0.1512 [2 per cell]  1 Cd 1.86



(6)
Density functional theory data (PBE) for a relaxed structure of RbCdH2.

Computed properties:
- Polymorph energy (0 for the lowest one): 157 meV per atom
- Total energy: -2.041 eV per atom

Cell lengths 5.3759, 5.3759, 11.8374 Å; angles 90.00, 90.00, 90.00 degrees
Closest atoms and distances in Å follow each position.
Space group I-42d (No. 122)
Asymmetric unit:
Rb  0.0000  0.0000  0.0000 [4 per cell]  4 H 3.05
Cd  0.0000  0.0000  0.5000 [4 per cell]  4 H 2.04
H  0.0717  0.2500  0.6250 [8 per cell]  2 Cd 2.04



(7)
Density functional theory data (PBE) for a relaxed structure of RbCdH2.

Computed properties:
- Polymorph energy (0 for the lowest one): 0 meV per atom
- Total energy: -2.198 eV per atom

Cell lengths 6.0011, 5.3423, 10.6606 Å; angles 90.00, 94.00, 90.00 degrees
Closest atoms and distances in Å follow each position.
Space group P2_1/c (No. 14)
Asymmetric unit:
Rb  0.0393  0.2020  0.3708 [4 per cell]  5 H 2.74-2.99
Cd  0.4475  0.0968  0.1207 [4 per cell]  3 H 1.91-2.11
H  0.1463  0.2123  0.1256 [4 per cell]  1 Cd 1.91
H  0.4002  0.6675  0.7631 [4 per cell]  2 Cd 1.95-2.11



(8)
Density functional theory data (PBE) for a relaxed structure of Rb4CdH2.

Computed properties:
- Total energy: -1.394 eV per atom

Cell lengths 6.7697, 6.7697, 16.2816 Å; angles 90.00, 90.00, 90.00 degrees
Closest atoms and distances in Å follow each position.
Space group I4/mmm (No. 139)
Asymmetric unit:
Rb  0.0000  0.0000  0.2435 [4 per cell]  1 H 2.60
Rb  0.0000  0.5000  0.0000 [4 per cell]  2 Cd 3.38, 4 H 3.74
Cd  0.0000  0.0000  0.0000 [2 per cell]  4 Rb 3.38
H  0.0000  0.0000  0.4030 [4 per cell]  1 Rb 2.60



(9)
Density functional theory data (PBE) for a relaxed structure of Rb2CdH2.

Computed properties:
- Polymorph energy (0 for the lowest one): 82 meV per atom
- Total energy: -1.794 eV per atom

Cell lengths 8.8631, 8.8631, 3.6373 Å; angles 90.00, 90.00, 90.00 degrees
Closest atoms and distances in Å follow each position.
Space group P4/mbm (No. 127)
Asymmetric unit:
Rb  0.1409  0.3591  0.0000 [4 per cell]  6 H 3.13-3.23, 2 Cd 3.42
Cd  0.0000  0.0000  0.0000 [2 per cell]  4 Rb 3.42, 2 Cd 3.64
H  0.1461  0.6461  0.5000 [4 per cell]  6 Rb 3.13-3.23



(10)
Density functional theory data (PBE) for a relaxed structure of Rb4CdH5.

Computed properties:
- Total energy: -2.166 eV per atom

Cell lengths 8.8761, 8.8761, 5.9047 Å; angles 90.00, 90.00, 90.00 degrees
Closest atoms and distances in Å follow each position.
Space group I4 (No. 79)
Asymmetric unit:
Rb  0.1038  0.7119  0.0000 [8 per cell]  5 H 2.84-2.97
Cd  0.0000  0.0000  0.5191 [2 per cell]  1 H 1.93
H  0.0000  0.0000  0.8465 [2 per cell]  1 Cd 1.93
H  0.0801  0.7384  0.4990 [8 per cell]  1 Cd 2.43



(11)
Density functional theory data (PBE) for a relaxed structure of Rb3Cd2H7.

Computed properties:
- Total energy: -2.393 eV per atom

Cell lengths 4.2823, 22.8084, 4.1361 Å; angles 90.00, 90.00, 90.00 degrees
Closest atoms and distances in Å follow each position.
Space group Cmmm (No. 65)
Asymmetric unit:
Rb  0.0000  0.0000  0.0000 [2 per cell]  12 H 2.94-2.99
Rb  0.0000  0.1797  0.0000 [4 per cell]  8 H 2.88-2.98
Cd  0.0000  0.4074  0.5000 [4 per cell]  6 H 2.02-2.14
H  0.0000  0.0918  0.5000 [4 per cell]  2 Cd 2.14
H  0.0000  0.3189  0.5000 [4 per cell]  1 Cd 2.02
H  0.0000  0.4083  0.0000 [4 per cell]  2 Cd 2.07
H  0.0000  0.5000  0.5000 [2 per cell]  2 Cd 2.11



(12)
Density functional theory data (PBE) for a relaxed structure of RbCd2H4.

Computed properties:
- Total energy: -2.158 eV per atom

Cell lengths 5.7023, 8.4733, 10.4199 Å; angles 90.00, 90.00, 90.00 degrees
Closest atoms and distances in Å follow each position.
Space group Cccm (No. 66)
Asymmetric unit:
Rb  0.0000  0.0000  0.2500 [4 per cell]  8 H 2.87-2.91
Cd  0.0022  0.3258  0.0000 [8 per cell]  4 H 2.00-2.06
H  0.1527  0.1140  0.5000 [8 per cell]  2 Cd 2.00-2.06
H  0.2500  0.2500  0.1250 [8 per cell]  2 Cd 2.03